Material: Pr2HoScSb4
Method: DFT, GGA-PBE
State: optimized geometry

Results
total magnetic moment	0.00	Bohr magnetons per cell
space-group type	No. 10
D(E_F)	0.147	states/eV per atom
raw formation energy	-1090	meV/atom
E_tot	-5.709	eV/atom

Cell and atoms, written as POSCAR:
```
Pr2HoScSb4
1.0
7.6310 0.0000 0.0000
0.0000 4.4257 0.0000
-2.5644 0.0000 7.2185
Pr Ho Sc Sb
2 1 1 4
Direct
0.0000 0.0000 0.0000
0.0000 0.5000 0.5000
0.5000 0.0000 0.5000
0.5000 0.5000 0.0000
0.2668 0.5000 0.2497
0.2712 0.0000 0.7630
0.7288 0.0000 0.2370
0.7332 0.5000 0.7503
```


Material: CeSiN2
Method: DFT, GGA-PBE
State: optimized geometry

Results
total magnetic moment	0.45	Bohr magnetons per cell
space-group type	No. 10
D(E_F)	0.552	states/eV per atom
raw formation energy	-869	meV/atom
E_tot	-7.871	eV/atom

Cell and atoms, written as POSCAR:
```
CeSiN2
1.0
5.8778 0.0000 0.0000
0.0000 3.0425 0.0000
-0.0960 0.0000 5.8929
Ce Si N
2 2 4
Direct
0.0000 0.0000 0.0000
0.5000 0.5000 0.0000
0.1857 0.5000 0.4078
0.8143 0.5000 0.5922
0.1145 0.5000 0.6918
0.3099 0.0000 0.3022
0.6901 0.0000 0.6978
0.8855 0.5000 0.3082
```


Material: Mg2InPb2
Method: DFT, GGA-PBE
State: optimized geometry

Results
total magnetic moment	0.00	Bohr magnetons per cell
energy above the lowest structure with this stoichiometry	0.0	meV/atom
space-group type	No. 65
D(E_F)	0.495	states/eV per atom
calculated formation energy	-0.044	eV per atom
E_tot	-2.713	eV/atom

Cell and atoms, written as POSCAR:
```
Mg2InPb2
1.0
1.7875 -10.6518 0.0000
1.7875 10.6518 0.0000
0.0000 0.0000 3.5051
Mg In Pb
2 1 2
Direct
0.0878 0.9122 0.0000
0.9122 0.0878 0.0000
0.5000 0.5000 0.5000
0.3181 0.6819 0.5000
0.6819 0.3181 0.5000
```


Material: Ho3Tm3Hg2
Method: DFT, GGA-PBE
State: optimized geometry

Results
total magnetic moment	0.00	Bohr magnetons per cell
space-group type	No. 63
D(E_F)	1.172	states/eV per atom
calculated formation energy	-0.165	eV per atom
E_tot	-3.634	eV/atom

Cell and atoms, written as POSCAR:
```
Ho3Tm3Hg2
1.0
2.5390 -5.7727 0.0000
2.5390 5.7727 0.0000
0.0000 0.0000 15.7315
Ho Tm Hg
6 6 4
Direct
0.0415 0.9585 0.6067
0.0415 0.9585 0.8933
0.2806 0.7194 0.7500
0.7194 0.2806 0.2500
0.9585 0.0415 0.1067
0.9585 0.0415 0.3933
0.3568 0.6432 0.5338
0.3568 0.6432 0.9662
0.4296 0.5704 0.2500
0.5704 0.4296 0.7500
0.6432 0.3568 0.0338
0.6432 0.3568 0.4662
0.2289 0.7711 0.1282
0.2289 0.7711 0.3718
0.7711 0.2289 0.6282
0.7711 0.2289 0.8718
```


Material: YTi3Tc
Method: DFT, GGA-PBE
State: optimized geometry

Results
total magnetic moment	0.00	Bohr magnetons per cell
energy above the lowest structure with this stoichiometry	1558.4	meV/atom
space-group type	No. 221
D(E_F)	1.825	states/eV per atom
calculated formation energy	1.795	eV per atom
E_tot	-6.308	eV/atom

Cell and atoms, written as POSCAR:
```
YTi3Tc
1.0
4.6442 0.0000 0.0000
0.0000 4.6442 0.0000
0.0000 0.0000 4.6442
Y Ti Tc
1 3 1
Direct
0.0000 0.0000 0.0000
0.0000 0.0000 0.5000
0.0000 0.5000 0.0000
0.5000 0.0000 0.0000
0.5000 0.5000 0.5000
```


Material: SrTe2NCl
Method: DFT, GGA-PBE
State: optimized geometry

Results
total magnetic moment	1.28	Bohr magnetons per cell
energy above the lowest structure with this stoichiometry	267.2	meV/atom
space-group type	No. 123
D(E_F)	0.353	states/eV per atom
raw formation energy	778	meV/atom
E_tot	-2.850	eV/atom

Cell and atoms, written as POSCAR:
```
SrTe2NCl
1.0
6.5155 0.0000 0.0000
0.0000 6.5155 0.0000
0.0000 0.0000 5.0038
Sr Te N Cl
1 2 1 1
Direct
0.0000 0.0000 0.0000
0.0000 0.5000 0.0000
0.5000 0.0000 0.0000
0.0000 0.0000 0.5000
0.5000 0.5000 0.5000
```


Material: Ba2WCl
Method: DFT, GGA-PBE
State: optimized geometry

Results
total magnetic moment	0.00	Bohr magnetons per cell
energy above the lowest structure with this stoichiometry	0.0	meV/atom
space-group type	No. 123
D(E_F)	0.644	states/eV per atom
raw formation energy	153	meV/atom
E_tot	-4.508	eV/atom

Cell and atoms, written as POSCAR:
```
Ba2WCl
1.0
3.5589 0.0000 0.0000
0.0000 3.5589 0.0000
0.0000 0.0000 9.4115
Ba W Cl
2 1 1
Direct
0.0000 0.0000 0.2491
0.0000 0.0000 0.7509
0.5000 0.5000 0.5000
0.5000 0.5000 0.0000
```


Material: TiAg2HgS4
Method: DFT, GGA-PBE
State: optimized geometry

Results
total magnetic moment	0.00	Bohr magnetons per cell
space-group type	No. 121
D(E_F)	0.036	states/eV per atom
raw formation energy	-504	meV/atom
E_tot	-4.305	eV/atom

Cell and atoms, written as POSCAR:
```
TiAg2HgS4
1.0
-2.8724 2.8724 5.8064
2.8724 -2.8724 5.8064
2.8724 2.8724 -5.8064
Ti Ag Hg S
1 2 1 4
Direct
0.0000 0.0000 0.0000
0.2500 0.7500 0.5000
0.7500 0.2500 0.5000
0.5000 0.5000 0.0000
0.1094 0.6552 0.0000
0.3448 0.3448 0.4542
0.6552 0.1094 0.0000
0.8906 0.8906 0.5458
```